(1)
A plane-wave DFT calculation with PBE was carried out for Zr7Al2C2 after structural relaxation.

The structure in POSCAR format:
```
Zr7Al2C2
1.0
-5.1408 -2.0788 -2.3473
-1.3805 -2.5346 5.2688
-1.1297 5.4401 2.3213
C Zr Al
2 7 2
direct
0.2697 0.0000 0.7303 C
0.7303 0.0000 0.2697 C
0.0000 0.7566 0.5000 Zr
0.0000 0.0000 0.0000 Zr
0.5000 0.7566 0.0000 Zr
0.0000 0.2434 0.5000 Zr
0.5000 0.2373 0.5000 Zr
0.5000 0.2434 0.0000 Zr
0.5000 0.7627 0.5000 Zr
0.8262 0.5000 0.8262 Al
0.1738 0.5000 0.1738 Al
```

Properties
D(E_F) (states/eV/cell): 7.5
Electronic total energy (eV per atom): -8.006
Space group: Cmmm
ΔH_f (0 K) (eV/atom): -0.21



(2)
A plane-wave DFT calculation with PBE was carried out for Zr4Al2C after structural relaxation.

The structure in POSCAR format:
```
Zr4Al2C
1.0
-4.7291 -2.2713 -0.5221
1.1073 -3.3734 4.6456
0.7568 7.8972 5.5541
Zr C Al
8 2 4
direct
0.5453 0.4928 0.2640 Zr
0.4547 0.5072 0.7360 Zr
0.1499 0.7500 0.3816 Zr
0.0853 0.7500 0.9119 Zr
0.5453 0.0072 0.2640 Zr
0.4547 0.9928 0.7360 Zr
0.8501 0.2500 0.6184 Zr
0.9147 0.2500 0.0881 Zr
0.8409 0.2500 0.8450 C
0.1591 0.7500 0.1550 C
0.8200 0.7500 0.5764 Al
0.2904 0.2500 0.9501 Al
0.7096 0.7500 0.0499 Al
0.1800 0.2500 0.4236 Al
```

Properties
D(E_F) (states/eV/cell): 11.1
Electronic total energy (eV per atom): -7.583
Space group: P2_1/m
ΔH_f (0 K) (eV/atom): -0.31



(3)
A plane-wave DFT calculation with PBE was carried out for ZrAlC2 after structural relaxation.

The structure in POSCAR format:
```
ZrAlC2
1.0
-0.9326 -0.4879 5.5122
-5.0568 -2.1951 -1.0499
-1.7248 -4.2468 2.1888
Al C Zr
2 4 2
direct
0.5000 0.5000 0.0000 Al
0.2500 0.7500 0.5000 Al
0.1579 0.6250 0.2500 C
0.3750 0.4079 0.7500 C
0.8750 0.8421 0.7500 C
0.5921 0.1250 0.2500 C
0.0000 0.0000 0.0000 Zr
0.7500 0.2500 0.5000 Zr
```

Properties
D(E_F) (states/eV/cell): 1.4
Electronic total energy (eV per atom): -7.522
Space group: I-42d
ΔH_f (0 K) (eV/atom): 0.16



(4)
A plane-wave DFT calculation with PBE was carried out for ZrAl3C after structural relaxation.

The structure in POSCAR format:
```
ZrAl3C
1.0
5.3052 0.0000 0.0000
0.0000 5.3052 0.0000
0.0000 0.0000 5.3052
Zr C Al
1 1 3
direct
0.0000 0.0000 0.0000 Zr
0.5000 0.5000 0.5000 C
0.0000 0.0000 0.5000 Al
0.5000 0.0000 0.0000 Al
0.0000 0.5000 0.0000 Al
```

Properties
D(E_F) (states/eV/cell): 4.0
Electronic total energy (eV per atom): -3.558
Space group: Pm-3m
Energy above the lowest structure with this stoichiometry (eV/f.u.): 9.53
ΔH_f (0 K) (eV/atom): 2.24



(5)
A plane-wave DFT calculation with PBE was carried out for Zr3Al3C5 after structural relaxation.

The structure in POSCAR format:
```
Zr3Al3C5
1.0
2.0480 2.0242 1.6314
-2.7569 1.1990 -1.3837
-14.7802 -5.1693 24.9686
C Zr Al
10 6 6
direct
0.6667 0.3333 0.5477 C
0.0000 0.0000 0.6493 C
0.0000 0.0000 0.8507 C
0.0000 0.0000 0.3507 C
0.0000 0.0000 0.1493 C
0.3333 0.6667 0.0477 C
0.3333 0.6667 0.2500 C
0.3333 0.6667 0.4523 C
0.6667 0.3333 0.7500 C
0.6667 0.3333 0.9523 C
0.3333 0.6667 0.9099 Zr
0.0000 0.0000 0.5000 Zr
0.6667 0.3333 0.4099 Zr
0.6667 0.3333 0.0901 Zr
0.0000 0.0000 0.0000 Zr
0.3333 0.6667 0.5901 Zr
0.6667 0.3333 0.3216 Al
0.3333 0.6667 0.6784 Al
0.3333 0.6667 0.8216 Al
0.6667 0.3333 0.1784 Al
0.0000 0.0000 0.7500 Al
0.0000 0.0000 0.2500 Al
```

Properties
D(E_F) (states/eV/cell): 2.6
Electronic total energy (eV per atom): -7.727
Space group: P6_3/mmc
Energy above the lowest structure with this stoichiometry (eV/f.u.): 3.78
ΔH_f (0 K) (eV/atom): -0.18



(6)
A plane-wave DFT calculation with PBE was carried out for Zr6AlC4 after structural relaxation.

The structure in POSCAR format:
```
Zr6AlC4
1.0
3.3958 0.0000 0.0000
-1.6979 5.6503 0.0000
0.0000 0.0000 17.8066
Zr C Al
12 8 2
direct
0.5000 0.0000 0.5000 Zr
0.7740 0.5480 0.0779 Zr
0.6450 0.2900 0.7500 Zr
0.9636 0.9271 0.8520 Zr
0.7740 0.5480 0.4221 Zr
0.3550 0.7100 0.2500 Zr
0.2260 0.4520 0.5779 Zr
0.0364 0.0729 0.3520 Zr
0.9636 0.9271 0.6480 Zr
0.0364 0.0729 0.1480 Zr
0.2260 0.4520 0.9221 Zr
0.5000 0.0000 0.0000 Zr
0.5899 0.1797 0.6219 C
0.4101 0.8203 0.1219 C
0.1389 0.2778 0.0396 C
0.1389 0.2778 0.4604 C
0.4101 0.8203 0.3781 C
0.8611 0.7222 0.5396 C
0.8611 0.7222 0.9604 C
0.5899 0.1797 0.8781 C
0.3401 0.6803 0.7500 Al
0.6599 0.3197 0.2500 Al
```

Properties
D(E_F) (states/eV/cell): 9.2
Electronic total energy (eV per atom): -9.073
Space group: Cmcm
ΔH_f (0 K) (eV/atom): -0.72